A plane-wave DFT calculation with PBE+U was carried out for a relaxed structure of TlCo4Cu3O12.

Cell and atoms, written as POSCAR:
```
TlCo4Cu3O12
1.0
-3.652 3.652 3.652
3.652 -3.652 3.652
3.652 3.652 -3.652
Tl Co Cu O
1 4 3 12
direct
0.000 0.000 0.000
0.000 0.000 0.500
0.000 0.500 0.000
0.500 0.000 0.000
0.500 0.500 0.500
0.000 0.500 0.500
0.500 0.000 0.500
0.500 0.500 0.000
0.137 0.827 0.310
0.173 0.310 0.484
0.173 0.690 0.863
0.310 0.137 0.827
0.310 0.484 0.173
0.484 0.173 0.310
0.516 0.827 0.690
0.690 0.516 0.827
0.690 0.863 0.173
0.827 0.310 0.137
0.827 0.690 0.516
0.863 0.173 0.690
```

Properties
- N(E_F) (states/eV per atom) = 0.126
- density (g/cm³) = 7.010
- E (eV/atom) = -5.404